VASP calculation (PBE) on a geometry-optimized Fe2CuCl structure.

For the energy relative to the elements, uncorrected, the calculation gives 547 meV per atom. The calculation puts the total energy at -41.36 eV/cell. For the energy relative to the lowest polymorph listed for this composition, the calculation gives 0.374 eV/atom. The calculation puts the calculated density at 6.266 Mg/m³.

The structure belongs to space group Cmmm (No. 65); the cell edges are 5.336, 7.598 and 2.754 Å and the angles 90.00°, 90.00° and 90.00°. The inequivalent atoms are Fe at (0.250, 0.250, 0.000), Cu at (0.000, 0.000, 0.500) and Cl at (0.000, 0.500, 0.500).

---

VASP calculation (PBE) on a geometry-optimized Tb2Pr2NdHo structure.

The calculation puts the total energy at -55.56 eV/cell. The calculation puts the calculated density at 7.485 Mg/m³.

The structure belongs to space group Pmma (No. 51); the cell edges are 7.061, 5.737 and 9.955 Å and the angles 90.00°, 90.00° and 90.00°. The inequivalent atoms are Tb at (0.250, 0.000, 0.166), Tb at (0.250, 0.500, 0.668), Pr at (0.000, 0.500, 0.000), Pr at (0.250, 0.000, 0.830), Nd at (0.000, 0.000, 0.500) and Ho at (0.250, 0.500, 0.336).

---

VASP calculation (PBE) on a geometry-optimized LaAg2Pt structure.

The calculation puts the total energy at -47.98 eV/cell. For the energy relative to the lowest polymorph listed for this composition, the calculation gives 0.692 eV/atom. The calculation puts the calculated density at 11.153 Mg/m³.

The structure belongs to space group R-3m (No. 166, hexagonal axes); the cell edges are 3.0245, 3.0245 and 30.9951 Å and the angles 90.00°, 90.00° and 120.00°. The inequivalent atoms are La at (0.0000, 0.0000, 0.0000), Ag at (0.0000, 0.0000, 0.2408) and Pt at (0.0000, 0.0000, 0.5000).

---

VASP calculation (PBE) on a geometry-optimized PrSm3Rh structure.

The calculation puts the total energy at -111.32 eV/cell. For the energy relative to the lowest polymorph listed for this composition, the calculation gives 0.000 eV/atom. The calculation puts the calculated density at 7.548 Mg/m³.

The structure belongs to space group C2/m (No. 12); the cell edges are 13.588, 3.838 and 11.734 Å and the angles 90.00°, 92.06° and 90.00°. The inequivalent atoms are Pr at (0.165, 0.000, 0.411), Sm at (0.050, 0.000, 0.136), Sm at (0.069, 0.500, 0.646), Sm at (0.224, 0.000, 0.863) and Rh at (0.099, 0.500, 0.951).

---

VASP calculation (PBE) on a geometry-optimized CrAg2Cl structure.

For the energy relative to the elements, uncorrected, the calculation gives 116 meV per atom. The calculation puts the total energy at -16.71 eV/cell. For the energy relative to the lowest polymorph listed for this composition, the calculation gives 0.054 eV/atom. The calculation puts the calculated density at 6.411 Mg/m³.

The structure belongs to space group P4mm (No. 99); the cell edges are 3.076, 3.076 and 8.299 Å and the angles 90.00°, 90.00° and 90.00°. The inequivalent atoms are Cr at (0.000, 0.000, 0.000), Ag at (0.000, 0.000, 0.467), Ag at (0.500, 0.500, 0.236) and Cl at (0.500, 0.500, 0.822).

---

VASP calculation (PBE) on a geometry-optimized ZrNbGe4 structure.

The calculation puts the total energy at -77.86 eV/cell. The calculation puts the calculated density at 7.430 Mg/m³.

The structure belongs to space group C2/m (No. 12); the cell edges are 9.390, 3.454 and 7.020 Å and the angles 90.00°, 111.26° and 90.00°. The inequivalent atoms are Zr at (0.000, 0.000, 0.000), Nb at (0.000, 0.000, 0.500), Ge at (0.159, 0.500, 0.814) and Ge at (0.167, 0.500, 0.340).

---

VASP calculation (PBE) on a geometry-optimized BiRh structure.

The calculation puts the total energy at -86.93 eV/cell. The calculation puts the calculated density at 8.434 Mg/m³.

The structure belongs to space group I4/m (No. 87); the cell edges are 11.284, 11.284 and 3.858 Å and the angles 90.00°, 90.00° and 90.00°. The inequivalent atoms are Bi at (0.071, 0.291, 0.000) and Rh at (0.160, 0.723, 0.000).

---

VASP calculation (PBE) on a geometry-optimized Na2PbIO4 structure.

For the energy relative to the elements, uncorrected, the calculation gives -899 meV per atom. The calculation puts the total energy at -69.85 eV/cell. The calculation puts the calculated density at 5.653 Mg/m³.

The structure belongs to space group I-4 (No. 82); the cell edges are 6.218, 6.218 and 6.748 Å and the angles 90.00°, 90.00° and 90.00°. The inequivalent atoms are Na at (0.000, 0.000, 0.000), Na at (0.000, 0.500, 0.250), Pb at (0.000, 0.000, 0.500), I at (0.000, 0.500, 0.750) and O at (0.174, 0.203, 0.743).

---

VASP calculation (PBE) on a geometry-optimized AcNd6Ho8 structure.

The calculation puts the total energy at -197.36 eV/cell. For the energy relative to the lowest polymorph listed for this composition, the calculation gives 0.068 eV/atom. The calculation puts the calculated density at 7.541 Mg/m³.

The structure belongs to space group R-3 (No. 148, hexagonal axes); the cell edges are 9.6339, 9.6339 and 19.8224 Å and the angles 90.00°, 90.00° and 120.00°. The inequivalent atoms are Ac at (0.0000, 0.0000, 0.0000), Nd at (0.0119, 0.7422, 0.3857), Ho at (0.0000, 0.0000, 0.2291) and Ho at (0.0200, 0.7214, 0.8811).

---

VASP calculation (PBE) on a geometry-optimized Ac3Si3Pt2 structure.

For the energy relative to the elements, uncorrected, the calculation gives -951 meV per atom. The calculation puts the total energy at -193.12 eV/cell. For the energy relative to the lowest polymorph listed for this composition, the calculation gives 0.000 eV/atom. The calculation puts the calculated density at 9.496 Mg/m³.

The structure belongs to space group Cmcm (No. 63); the cell edges are 4.366, 11.532 and 16.051 Å and the angles 90.00°, 90.00° and 90.00°. The inequivalent atoms are Ac at (0.000, 0.060, 0.250), Ac at (0.000, 0.350, 0.093), Si at (0.000, 0.076, 0.051), Si at (0.000, 0.232, 0.750) and Pt at (0.000, 0.363, 0.618).

---

VASP calculation (PBE) on a geometry-optimized LaYBe2 structure.

The calculation puts the total energy at -16.84 eV/cell. For the energy relative to the lowest polymorph listed for this composition, the calculation gives 0.405 eV/atom. The calculation puts the calculated density at 4.200 Mg/m³.

The structure belongs to space group P2/m (No. 10); the cell edges are 4.697, 3.583 and 5.911 Å and the angles 90.00°, 102.31° and 90.00°. The inequivalent atoms are La at (0.000, 0.000, 0.000), Y at (0.500, 0.500, 0.500), Be at (0.000, 0.000, 0.500) and Be at (0.500, 0.500, 0.000).

---

VASP calculation (PBE) on a geometry-optimized ZnPRuO2 structure.

For the energy relative to the elements, uncorrected, the calculation gives -345 meV per atom. The calculation puts the total energy at -27.60 eV/cell. For the energy relative to the lowest polymorph listed for this composition, the calculation gives 0.000 eV/atom. The calculation puts the calculated density at 5.176 Mg/m³.

The structure belongs to space group P4/mmm (No. 123); the cell edges are 3.729, 3.729 and 5.294 Å and the angles 90.00°, 90.00° and 90.00°. The inequivalent atoms are Zn at (0.000, 0.000, 0.000), P at (0.500, 0.500, 0.000), Ru at (0.500, 0.500, 0.500) and O at (0.000, 0.500, 0.500).

---

VASP calculation (PBE) on a geometry-optimized Sm4Tc structure.

The calculation puts the total energy at -28.33 eV/cell. The calculation puts the calculated density at 7.084 Mg/m³.

The structure belongs to space group Pm-3m (No. 221); the cell edges are 5.473, 5.473 and 5.473 Å and the angles 90.00°, 90.00° and 90.00°. The inequivalent atoms are Sm at (0.000, 0.000, 0.000), Sm at (0.000, 0.500, 0.500) and Tc at (0.500, 0.500, 0.500).

---

VASP calculation (PBE) on a geometry-optimized Pm2GeRh2 structure.

The calculation puts the total energy at -131.93 eV/cell. For the energy relative to the lowest polymorph listed for this composition, the calculation gives 0.000 eV/atom. The calculation puts the calculated density at 8.944 Mg/m³.

The structure belongs to space group C2/c (No. 15); the cell edges are 9.978, 5.567 and 7.828 Å and the angles 90.00°, 103.88° and 90.00°. The inequivalent atoms are Pm at (0.148, 0.145, 0.149), Ge at (0.000, 0.357, 0.750) and Rh at (0.131, 0.370, 0.502).

---

VASP calculation (PBE) on a geometry-optimized Ca5Sn4Hg structure.

The calculation puts the total energy at -32.48 eV/cell. The calculation puts the calculated density at 5.161 Mg/m³.

The structure belongs to space group P4/mmm (No. 123); the cell edges are 3.650, 3.650 and 21.153 Å and the angles 90.00°, 90.00° and 90.00°. The inequivalent atoms are Ca at (0.000, 0.000, 0.000), Ca at (0.000, 0.000, 0.207), Ca at (0.000, 0.000, 0.408), Sn at (0.500, 0.500, 0.103), Sn at (0.500, 0.500, 0.310) and Hg at (0.500, 0.500, 0.500).

---

VASP calculation (PBE) on a geometry-optimized Rb2CdSBr6 structure.

For the energy relative to the elements, uncorrected, the calculation gives -869 meV per atom. The calculation puts the total energy at -51.42 eV/cell. The calculation puts the calculated density at 3.699 Mg/m³.

The structure belongs to space group I4/mmm (No. 139); the cell edges are 7.740, 7.740 and 11.912 Å and the angles 90.00°, 90.00° and 90.00°. The inequivalent atoms are Rb at (0.000, 0.500, 0.250), Cd at (0.000, 0.000, 0.000), S at (0.000, 0.000, 0.500), Br at (0.000, 0.000, 0.215) and Br at (0.229, 0.229, 0.500).

---

VASP calculation (PBE) on a geometry-optimized MnFeSiGe structure.

For the energy relative to the elements, uncorrected, the calculation gives -78 meV per atom. The calculation puts the total energy at -83.95 eV/cell. For the energy relative to the lowest polymorph listed for this composition, the calculation gives 0.071 eV/atom. The calculation puts the calculated density at 7.292 Mg/m³.

The structure belongs to space group R3m (No. 160, hexagonal axes); the cell edges are 2.7464, 2.7464 and 22.1195 Å and the angles 90.00°, 90.00° and 120.00°. The inequivalent atoms are Mn at (0.0000, 0.0000, 0.0000), Fe at (0.0000, 0.0000, 0.8316), Si at (0.0000, 0.0000, 0.4168) and Ge at (0.0000, 0.0000, 0.5813).

---

VASP calculation (PBE) on a geometry-optimized TbNd2Hg3 structure.

The calculation puts the total energy at -17.91 eV/cell. The calculation puts the calculated density at 10.540 Mg/m³.

The structure belongs to space group P4/mmm (No. 123); the cell edges are 3.800, 3.800 and 11.450 Å and the angles 90.00°, 90.00° and 90.00°. The inequivalent atoms are Tb at (0.000, 0.000, 0.000), Nd at (0.000, 0.000, 0.330), Hg at (0.500, 0.500, 0.156) and Hg at (0.500, 0.500, 0.500).

---

VASP calculation (PBE) on a geometry-optimized ZrTiAl structure.

The calculation puts the total energy at -42.06 eV/cell. For the energy relative to the lowest polymorph listed for this composition, the calculation gives 0.055 eV/atom. The calculation puts the calculated density at 4.789 Mg/m³.

The structure belongs to space group Pmmn (No. 59, origin choice 2); the cell edges are 3.372, 4.380 and 7.797 Å and the angles 90.00°, 90.00° and 90.00°. The inequivalent atoms are Zr at (0.250, 0.250, 0.130), Ti at (0.250, 0.750, 0.535) and Al at (0.250, 0.250, 0.752).

---

VASP calculation (PBE) on a geometry-optimized TlGe2Mo2 structure.

The calculation puts the total energy at -64.57 eV/cell. For the energy relative to the lowest polymorph listed for this composition, the calculation gives 0.000 eV/atom. The calculation puts the calculated density at 10.200 Mg/m³.

The structure belongs to space group P4/mbm (No. 127); the cell edges are 7.322, 7.322 and 3.289 Å and the angles 90.00°, 90.00° and 90.00°. The inequivalent atoms are Tl at (0.000, 0.000, 0.000), Ge at (0.147, 0.353, 0.500) and Mo at (0.142, 0.642, 0.000).

---

VASP calculation (PBE) on a geometry-optimized Ce3CuGe4 structure.

The calculation puts the total energy at -88.55 eV/cell. The calculation puts the calculated density at 6.621 Mg/m³.

The structure belongs to space group Immm (No. 71); the cell edges are 4.453, 5.977 and 14.594 Å and the angles 90.00°, 90.00° and 90.00°. The inequivalent atoms are Ce at (0.000, 0.000, 0.000), Ce at (0.000, 0.500, 0.192), Cu at (0.000, 0.000, 0.500) and Ge at (0.000, 0.283, 0.380).

---

VASP calculation (PBE) on a geometry-optimized CsAgPS2 structure.

For the energy relative to the elements, uncorrected, the calculation gives 341 meV per atom. The calculation puts the total energy at -15.66 eV/cell. For the energy relative to the lowest polymorph listed for this composition, the calculation gives 0.000 eV/atom. The calculation puts the calculated density at 4.255 Mg/m³.

The structure belongs to space group P4/mmm (No. 123); the cell edges are 5.203, 5.203 and 4.843 Å and the angles 90.00°, 90.00° and 90.00°. The inequivalent atoms are Cs at (0.000, 0.000, 0.000), Ag at (0.500, 0.500, 0.500), P at (0.500, 0.500, 0.000) and S at (0.000, 0.500, 0.500).

---

VASP calculation (PBE) on a geometry-optimized Tb2DyErTh structure.

The calculation puts the total energy at -48.38 eV/cell. The calculation puts the calculated density at 8.690 Mg/m³.

The structure belongs to space group P2/c (No. 13); the cell edges are 8.480, 6.328 and 6.304 Å and the angles 90.00°, 96.38° and 90.00°. The inequivalent atoms are Tb at (0.188, 0.199, 0.284), Dy at (0.500, 0.500, 0.000), Er at (0.000, 0.317, 0.750) and Th at (0.500, 0.052, 0.750).

---

VASP calculation (PBE) on a geometry-optimized TiAg2Rh structure.

The calculation puts the total energy at -77.61 eV/cell. For the energy relative to the lowest polymorph listed for this composition, the calculation gives 0.248 eV/atom. The calculation puts the calculated density at 8.463 Mg/m³.

The structure belongs to space group I-42d (No. 122); the cell edges are 7.450, 7.450 and 5.183 Å and the angles 90.00°, 90.00° and 90.00°. The inequivalent atoms are Ti at (0.000, 0.000, 0.000), Ag at (0.248, 0.250, 0.625) and Rh at (0.000, 0.000, 0.500).

---

| no. | total magnetization (μB/f.u.) |
| --- | --- |
| 1 | 6.21 |
| 2 | 0.00 |
| 3 | 0.85 |
| 4 | 0.00 |
| 5 | 4.22 |
| 6 | 0.00 |
| 7 | 0.00 |
| 8 | 0.00 |
| 9 | 0.00 |
| 10 | 0.00 |
| 11 | 0.00 |
| 12 | 0.61 |
| 13 | 0.64 |
| 14 | 0.00 |
| 15 | 0.00 |
| 16 | 0.00 |
| 17 | 0.25 |
| 18 | 1.13 |
| 19 | 0.48 |
| 20 | 0.00 |
| 21 | 2.21 |
| 22 | 0.45 |
| 23 | 0.00 |
| 24 | 0.77 |